(1)
Density functional theory data (PBE-GGA) for an optimized crystal structure of Tb2SmRh.

abc: 7.2075 9.5823 6.3861
angles: 90.00 90.00 90.00
Last column: nearest neighbours and their distance in Å.
Sites, in units of the cell vectors:
Tb (0.1764, 0.0643, 0.1699)  2 Rh 2.85-2.86
Tb (0.1764, 0.4357, 0.1699)  2 Rh 2.85-2.86
Tb (0.3236, 0.5643, 0.6699)  2 Rh 2.85-2.86
Tb (0.3236, 0.9357, 0.6699)  2 Rh 2.85-2.86
Tb (0.6764, 0.0643, 0.3301)  2 Rh 2.85-2.86
Tb (0.6764, 0.4357, 0.3301)  2 Rh 2.85-2.86
Tb (0.8236, 0.5643, 0.8301)  2 Rh 2.85-2.86
Tb (0.8236, 0.9357, 0.8301)  2 Rh 2.85-2.86
Sm (0.0347, 0.2500, 0.6384)  2 Rh 2.82-2.95
Sm (0.4653, 0.7500, 0.1384)  2 Rh 2.82-2.95
Sm (0.5347, 0.2500, 0.8616)  2 Rh 2.82-2.95
Sm (0.9653, 0.7500, 0.3616)  2 Rh 2.82-2.95
Rh (0.1180, 0.7500, 0.9336)  2 Sm 2.82-2.95, 4 Tb 2.85-2.86
Rh (0.3820, 0.2500, 0.4336)  2 Sm 2.82-2.95, 4 Tb 2.85-2.86
Rh (0.6180, 0.7500, 0.5664)  2 Sm 2.82-2.95, 4 Tb 2.85-2.86
Rh (0.8820, 0.2500, 0.0664)  2 Sm 2.82-2.95, 4 Tb 2.85-2.86

Values from the calculation:
E above lowest polymorph: 0 meV/atom
raw total energy: -93.3 eV for the cell shown
energy relative to the elements: -0.50 eV/atom

(2)
Density functional theory data (PBE-GGA) for an optimized crystal structure of Tb3SmRh4.

abc: 4.9254 4.9254 6.8043
angles: 90.00 90.00 90.00
Last column: nearest neighbours and their distance in Å.
Sites, in units of the cell vectors:
Tb (0.0000, 0.0000, 0.0000)  8 Rh 2.98
Tb (0.0000, 0.0000, 0.5000)  8 Rh 3.00
Tb (0.5000, 0.5000, 0.0000)  8 Rh 2.98
Sm (0.5000, 0.5000, 0.5000)  8 Rh 3.00
Rh (0.0000, 0.5000, 0.2476)  6 Tb 2.98-3.00, 2 Sm 3.00
Rh (0.0000, 0.5000, 0.7524)  6 Tb 2.98-3.00, 2 Sm 3.00
Rh (0.5000, 0.0000, 0.2476)  6 Tb 2.98-3.00, 2 Sm 3.00
Rh (0.5000, 0.0000, 0.7524)  6 Tb 2.98-3.00, 2 Sm 3.00

Values from the calculation:
raw total energy: -54.5 eV for the cell shown
energy relative to the elements: -0.81 eV/atom

(3)
Density functional theory data (PBE-GGA) for an optimized crystal structure of Tb2SmRh.

abc: 9.4206 9.4206 9.4206
angles: 23.71 23.71 23.71
Last column: nearest neighbours and their distance in Å.
Sites, in units of the cell vectors:
Tb (0.0000, 0.0000, 0.0000)  3 Rh 2.76
Tb (0.2158, 0.2158, 0.2158)  3 Rh 2.75
Sm (0.4429, 0.4429, 0.4429)  6 Tb 3.67-3.75, 6 Sm 3.87
Rh (0.6078, 0.6078, 0.6078)  6 Tb 2.75-2.76

Values from the calculation:
E above lowest polymorph: 157 meV/atom
raw total energy: -22.7 eV for the cell shown
energy relative to the elements: -0.34 eV/atom

(4)
Density functional theory data (PBE-GGA) for an optimized crystal structure of TbSmRh.

abc: 5.7378 4.5265 6.5573
angles: 90.00 106.40 90.00
Last column: nearest neighbours and their distance in Å.
Sites, in units of the cell vectors:
Tb (0.0244, 0.2500, 0.1983)  3 Rh 2.76-2.82
Tb (0.9756, 0.7500, 0.8017)  3 Rh 2.76-2.82
Sm (0.4271, 0.2500, 0.7113)  3 Rh 2.84-3.00
Sm (0.5729, 0.7500, 0.2887)  3 Rh 2.84-3.00
Rh (0.1583, 0.7500, 0.4451)  3 Tb 2.76-2.82, 3 Sm 2.84-3.00
Rh (0.8417, 0.2500, 0.5549)  3 Tb 2.76-2.82, 3 Sm 2.84-3.00

Values from the calculation:
E above lowest polymorph: 87 meV/atom
raw total energy: -36.6 eV for the cell shown
energy relative to the elements: -0.53 eV/atom

(5)
Density functional theory data (PBE-GGA) for an optimized crystal structure of TbSm3Rh8.

abc: 9.3136 9.3136 9.3136
angles: 33.55 33.55 33.55
Last column: nearest neighbours and their distance in Å.
Sites, in units of the cell vectors:
Tb (0.0000, 0.0000, 0.0000)  12 Rh 3.14-3.15, 4 Sm 3.29-3.30
Sm (0.1251, 0.1251, 0.1251)  12 Rh 3.15-3.17, 3 Sm 3.29, 1 Tb 3.30
Sm (0.5003, 0.5003, 0.5003)  12 Rh 3.15-3.16, 4 Sm 3.29-3.30
Sm (0.6256, 0.6256, 0.6256)  12 Rh 3.13-3.15, 3 Tb 3.29, 1 Sm 3.30
Rh (0.0622, 0.5624, 0.5624)  6 Rh 2.68-2.70
Rh (0.0629, 0.0629, 0.5636)  6 Rh 2.68-2.70
Rh (0.0629, 0.5636, 0.0629)  6 Rh 2.68-2.70
Rh (0.3128, 0.3128, 0.3128)  6 Rh 2.68
Rh (0.5624, 0.0622, 0.5624)  6 Rh 2.68-2.70
Rh (0.5624, 0.5624, 0.0622)  6 Rh 2.68-2.70
Rh (0.5636, 0.0629, 0.0629)  6 Rh 2.68-2.70
Rh (0.8127, 0.8127, 0.8127)  6 Rh 2.70

Values from the calculation:
raw total energy: -86.1 eV for the cell shown
energy relative to the elements: -0.71 eV/atom

(6)
Density functional theory data (PBE-GGA) for an optimized crystal structure of TbSmTh2Rh4.

abc: 7.0113 5.7633 6.8675
angles: 66.77 49.06 64.17
Last column: nearest neighbours and their distance in Å.
Sites, in units of the cell vectors:
Tb (0.0000, 0.0000, 0.0000)  6 Rh 2.76-2.96
Sm (0.5690, 0.5690, 0.4310)  6 Rh 2.86-2.98
Th (0.3405, 0.3405, 0.1595)  6 Rh 2.86-2.91
Th (0.8405, 0.8405, 0.6595)  6 Rh 2.86-2.91
Rh (0.0833, 0.4888, 0.9167)  2 Sm 2.86-2.97, 2 Th 2.87, 2 Tb 2.89-2.96, 1 Rh 3.20
Rh (0.3301, 0.8594, 0.1406)  1 Tb 2.76, 4 Th 2.86-2.91, 1 Sm 2.98
Rh (0.4888, 0.0833, 0.5112)  2 Sm 2.86-2.97, 2 Th 2.87, 2 Tb 2.89-2.96, 1 Rh 3.20
Rh (0.8594, 0.3301, 0.6699)  1 Tb 2.76, 4 Th 2.86-2.91, 1 Sm 2.98

Values from the calculation:
raw total energy: -59.7 eV for the cell shown
energy relative to the elements: -0.76 eV/atom